VASP calculation (meta-GGA SCAN) on a crystal of Ga3FeHg relaxed with PBEsol.

## Properties
- ΔE_f (eV/atom) = 1.089
- DFT total energy (eV/atom) = -25.978
- total moment (μB per atom) = 0.66

Geometry as POSCAR:
```
Ga3FeHg
1.0
5.011 0.000 0.000
0.000 5.011 0.000
0.000 0.000 5.011
Ga Fe Hg
3 1 1
Direct
0.000 0.000 0.500
0.000 0.500 0.000
0.500 0.000 0.000
0.500 0.500 0.500
0.000 0.000 0.000
```